No. 1
Below is YMn2SCl after structural relaxation, with properties calculated at the GGA-PBE level.

Results
magnetization	5.64	μB per formula unit
uncorrected formation energy	-0.177	eV/atom

abc: 4.2300 6.1178 4.2300
angles: 90.00 90.00 90.00
Site moments in Bohr magnetons follow the coordinates.
Positions (direct):
1 Y 0.5000 0.5000 0.5000  -0.41
2 S 0.0000 0.0000 0.0000  -0.05
3 Mn 0.0000 0.0000 0.5000  3.06
4 Mn 0.5000 0.0000 0.0000  3.25
5 Cl 0.0000 0.5000 0.0000  0.02

No. 2
Below is CdSeN2 after structural relaxation, with properties calculated at the GGA-PBE level.

Results
offset from the most stable computed form	0	meV per atom
magnetization	0.00	μB per formula unit
uncorrected formation energy	1.021	eV/atom

abc: 4.8877 4.8877 6.3028
angles: 67.19 67.19 90.00
Positions (direct):
1 N 0.5770 0.1250 0.2500
2 N 0.1730 0.6250 0.2500
3 N 0.3750 0.4230 0.7500
4 N 0.8750 0.8270 0.7500
5 Se 0.5000 0.5000 0.0000
6 Se 0.2500 0.7500 0.5000
7 Cd 0.0000 0.0000 0.0000
8 Cd 0.7500 0.2500 0.5000

No. 3
Below is K2ReRu after structural relaxation, with properties calculated at the GGA-PBE level.

Results
offset from the most stable computed form	80	meV per atom
DFT formation energy	0.846	eV per atom
magnetization	0.00	μB per formula unit

abc: 10.4876 10.4876 10.4876
angles: 162.67 158.67 27.62
Positions (direct):
1 K 0.8954 0.8954 0.0000
2 K 0.6046 0.6046 0.0000
3 Re 0.2500 0.7500 0.5000
4 Ru 0.7500 0.2500 0.5000

No. 4
Below is Tm5SnS4 after structural relaxation, with properties calculated at the GGA-PBE level.

Results
magnetization	0.00	μB per formula unit
uncorrected formation energy	-1.636	eV/atom

abc: 5.6143 6.8539 6.8539
angles: 80.34 65.82 65.82
Positions (direct):
1 Tm 0.8973 0.4164 0.7911
2 Tm 0.3136 0.7911 0.5836
3 Tm 0.6883 0.2089 0.4164
4 Tm 0.1047 0.5836 0.2089
5 Tm 0.5012 0.0000 0.0000
6 Sn 0.0011 0.0000 0.0000
7 S 0.3963 0.4059 0.8036
8 S 0.8021 0.8036 0.5941
9 S 0.1999 0.1964 0.4059
10 S 0.6058 0.5941 0.1964

No. 5
Below is Dy3Tm4Au4 after structural relaxation, with properties calculated at the GGA-PBE level.

Results
DFT formation energy	-0.585	eV per atom
magnetization	0.00	μB per formula unit

abc: 4.7846 7.6615 8.9635
angles: 115.30 105.48 90.00
Positions (direct):
1 Dy 0.1035 0.1035 0.2070
2 Dy 0.8965 0.8965 0.7930
3 Dy 0.0000 0.5000 0.0000
4 Tm 0.3271 0.1140 0.6541
5 Tm 0.6729 0.4598 0.3459
6 Tm 0.6729 0.8860 0.3459
7 Tm 0.3271 0.5402 0.6541
8 Au 0.2059 0.7059 0.4118
9 Au 0.7941 0.2941 0.5882
10 Au 0.5000 0.8111 0.0000
11 Au 0.5000 0.1889 0.0000

No. 6
Below is Ca2YOs after structural relaxation, with properties calculated at the GGA-PBE level.

Results
offset from the most stable computed form	372	meV per atom
DFT formation energy	0.459	eV per atom
magnetization	0.00	μB per formula unit

abc: 4.9970 3.6147 5.9854
angles: 73.31 90.00 90.00
Positions (direct):
1 Y 0.5000 0.7500 0.7500
2 Ca 0.0000 0.0742 0.0358
3 Ca 0.0000 0.4258 0.4642
4 Os 0.5000 0.2500 0.2500

No. 7
Below is K2Pu3NpO12 after structural relaxation, with properties calculated at the GGA-PBE level.

Results
magnetization	9.00	μB per formula unit
uncorrected formation energy	-2.587	eV/atom

abc: 7.8631 7.8631 7.8631
angles: 59.50 59.50 59.50
Site moments in Bohr magnetons follow the coordinates.
Positions (direct):
1 K 0.6305 0.6305 0.6305  0.00
2 K 0.3695 0.3695 0.3695  0.00
3 Pu 0.5000 0.0000 0.0000  3.12
4 Pu 0.0000 0.5000 0.0000  3.12
5 Pu 0.0000 0.0000 0.5000  3.12
6 Np 0.0000 0.0000 0.0000  1.23
7 O 0.3178 0.3178 0.9344  -0.16
8 O 0.9333 0.9333 0.3128  -0.10
9 O 0.3128 0.9333 0.9333  -0.10
10 O 0.9344 0.3178 0.3178  -0.16
11 O 0.9333 0.3128 0.9333  -0.10
12 O 0.3178 0.9344 0.3178  -0.16
13 O 0.6822 0.6822 0.0656  -0.16
14 O 0.0667 0.0667 0.6872  -0.10
15 O 0.6872 0.0667 0.0667  -0.10
16 O 0.0656 0.6822 0.6822  -0.16
17 O 0.0667 0.6872 0.0667  -0.10
18 O 0.6822 0.0656 0.6822  -0.16

No. 8
Below is RePPdCl2 after structural relaxation, with properties calculated at the GGA-PBE level.

Results
offset from the most stable computed form	499	meV per atom
magnetization	4.21	μB per formula unit
uncorrected formation energy	1.120	eV/atom

abc: 4.7342 4.7342 4.9236
angles: 90.00 90.00 90.00
Site moments in Bohr magnetons follow the coordinates.
Positions (direct):
1 Re 0.5000 0.5000 0.5000  3.97
2 P 0.0000 0.0000 0.5000  -0.31
3 Pd 0.0000 0.0000 0.0000  -0.07
4 Cl 0.0000 0.5000 0.0000  0.05
5 Cl 0.5000 0.0000 0.0000  0.05

No. 9
Below is PrSm7Tm4 after structural relaxation, with properties calculated at the GGA-PBE level.

Results
offset from the most stable computed form	0	meV per atom
DFT formation energy	0.001	eV per atom
magnetization	0.00	μB per formula unit

abc: 7.2356 6.2632 11.4805
angles: 79.52 50.93 90.03
Positions (direct):
1 Pr 0.0000 0.0000 0.0000
2 Sm 0.7444 0.5004 0.0016
3 Sm 0.2556 0.4996 0.9984
4 Sm 0.0846 0.2804 0.6632
5 Sm 0.9154 0.7196 0.3368
6 Sm 0.3350 0.7767 0.6647
7 Sm 0.5000 0.0000 0.0000
8 Sm 0.6650 0.2233 0.3353
9 Tm 0.4104 0.7220 0.3352
10 Tm 0.5896 0.2780 0.6648
11 Tm 0.8359 0.7810 0.6641
12 Tm 0.1641 0.2190 0.3359

No. 10
Below is Te2IrBr after structural relaxation, with properties calculated at the GGA-PBE level.

Results
offset from the most stable computed form	278	meV per atom
magnetization	0.00	μB per formula unit
uncorrected formation energy	0.014	eV/atom

abc: 7.5729 8.0401 8.0401
angles: 35.45 97.19 82.81
Positions (direct):
1 Ir 0.7500 0.9540 0.4540
2 Ir 0.2500 0.0460 0.5460
3 Te 0.3796 0.1035 0.2233
4 Te 0.1204 0.7233 0.6035
5 Te 0.6204 0.8965 0.7767
6 Te 0.8796 0.2767 0.3965
7 Br 0.7500 0.3532 0.8532
8 Br 0.2500 0.6468 0.1468

For each record above, in turn, the calculated calculated density values are 4.04, 5.79, 4.86, 8.26, 11.42, 5.76, 6.05, 5.94, 7.91, 6.77 g/cm³.
For each record above, in turn, the calculated E_tot values are -31.7, -33.9, -20.5, -59.2, -51.2, -19.9, -164.2, -21.1, -55.7, -33.5 eV/cell.